# PBE-GGA NpInFeRu, optimized geometry
data_NpInFeRu
_cell_length_a 6.547
_cell_length_b 6.547
_cell_length_c 6.547
_cell_angle_alpha 90.00
_cell_angle_beta 90.00
_cell_angle_gamma 90.00
_symmetry_space_group_name_H-M 'P 1'
_symmetry_Int_Tables_number 1
_symmetry_space_group_name_Hall 'P 1'
loop_
_atom_site_label
_atom_site_fract_x
_atom_site_fract_y
_atom_site_fract_z
Np1 0.000 0.000 0.000
Np2 0.000 0.500 0.500
Np3 0.500 0.000 0.500
Np4 0.500 0.500 0.000
In1 0.000 0.000 0.500
In2 0.000 0.500 0.000
In3 0.500 0.000 0.000
In4 0.500 0.500 0.500
Fe1 0.250 0.250 0.750
Fe2 0.250 0.750 0.250
Fe3 0.750 0.250 0.250
Fe4 0.750 0.750 0.750
Ru1 0.250 0.250 0.250
Ru2 0.250 0.750 0.750
Ru3 0.750 0.250 0.750
Ru4 0.750 0.750 0.250
# energy relative to the elements = 0.039 eV per atom